VASP calculation (PBE) on a relaxed GaCuSn crystal.

a = 6.720 Å, b = 4.207 Å, c = 4.690 Å
α = 89.93°, β = 110.50°, γ = 108.19°
Sites, in units of the cell vectors:
Ga: 0.630 0.804 0.093
Ga: 0.140 0.560 0.848
Sn: 0.675 0.326 0.531
Sn: 0.095 0.037 0.240
Cu: 0.385 0.182 0.852
Cu: 0.385 0.682 0.517

VASP energy = -22.2 eV/cell
Energy relative to the elements = 0.00 eV/atom

=====

VASP calculation (PBE) on a relaxed GaCuSn crystal.

a = 3.940 Å, b = 3.940 Å, c = 7.142 Å
α = 90.00°, β = 90.00°, γ = 90.00°
Sites, in units of the cell vectors:
Sn: 0.500 0.000 0.872
Sn: 0.000 0.500 0.128
Ga: 0.000 0.000 0.500
Ga: 0.500 0.500 0.500
Cu: 0.500 0.000 0.258
Cu: 0.000 0.500 0.742

VASP energy = -22.2 eV/cell
Energy relative to the elements = 0.00 eV/atom